[1]
A plane-wave DFT calculation with GGA-PBE was carried out for a geometry-optimized InHg2Pb9 structure.

```
InHg2Pb9
1.0
4.9280 0.0000 0.0000
0.0000 4.9280 0.0000
0.0000 0.0000 14.8454
In Hg Pb
1 2 9
Direct
0.0000 0.0000 0.0000
0.0000 0.0000 0.3348
0.0000 0.0000 0.6652
0.0000 0.5000 0.1685
0.0000 0.5000 0.5000
0.0000 0.5000 0.8315
0.5000 0.0000 0.1685
0.5000 0.0000 0.5000
0.5000 0.0000 0.8315
0.5000 0.5000 0.0000
0.5000 0.5000 0.3341
0.5000 0.5000 0.6659
```

## Properties
DFT formation energy	0.00	eV per atom
SG	P4/mmm, No. 123



[2]
A plane-wave DFT calculation with GGA-PBE was carried out for a geometry-optimized In4Hg2Pb structure.

```
In4Hg2Pb
1.0
1.6772 0.9683 20.2639
-1.6772 0.9683 20.2639
0.0000 -1.9367 20.2639
In Hg Pb
4 2 1
Direct
0.1436 0.1436 0.1436
0.2848 0.2848 0.2848
0.7152 0.7152 0.7152
0.8564 0.8564 0.8564
0.2352 0.2352 0.2352
0.7648 0.7648 0.7648
0.0000 0.0000 0.0000
```

## Properties
DFT formation energy	0.02	eV per atom
SG	R-3m, No. 166



[3]
A plane-wave DFT calculation with GGA-PBE was carried out for a geometry-optimized InHgPb structure.

```
InHgPb
1.0
5.2788 -1.7424 0.0000
5.2788 1.7424 0.0000
-1.5991 0.0000 9.3495
In Hg Pb
2 2 2
Direct
0.1071 0.1071 0.2133
0.8929 0.8929 0.7867
0.3659 0.3659 0.0889
0.6341 0.6341 0.9111
0.1497 0.1497 0.5885
0.8503 0.8503 0.4115
```

## Properties
distance to the lowest polymorph of the same formula	35.9	meV/atom
DFT formation energy	0.04	eV per atom
SG	C2/m, No. 12



[4]
A plane-wave DFT calculation with GGA-PBE was carried out for a geometry-optimized In2Hg3Pb5 structure.

```
In2Hg3Pb5
1.0
5.9370 0.0000 0.0000
-1.5591 9.9955 0.0000
-1.5757 -1.6792 9.8609
In Hg Pb
4 6 10
Direct
0.1078 0.1284 0.1318
0.3914 0.3686 0.3718
0.6086 0.6314 0.6282
0.8922 0.8716 0.8682
0.1101 0.7349 0.5223
0.2504 0.4516 0.0492
0.3887 0.9768 0.7639
0.6113 0.0232 0.2361
0.7496 0.5484 0.9508
0.8899 0.2651 0.4777
0.0265 0.1975 0.8121
0.1123 0.5219 0.7260
0.2496 0.0495 0.4498
0.3894 0.7752 0.9786
0.4740 0.6888 0.3031
0.5260 0.3112 0.6969
0.6106 0.2248 0.0214
0.7504 0.9505 0.5502
0.8877 0.4781 0.2740
0.9735 0.8025 0.1879
```

## Properties
DFT formation energy	0.04	eV per atom
SG	P-1, No. 2



[5]
A plane-wave DFT calculation with GGA-PBE was carried out for a geometry-optimized In7HgPb5 structure.

```
In7HgPb5
1.0
6.4815 -5.1163 0.0000
6.4815 5.1163 0.0000
-1.4771 0.0000 5.7942
In Hg Pb
7 1 5
Direct
0.0000 0.0000 0.0000
0.1834 0.1834 0.4801
0.1972 0.8256 0.5644
0.3785 0.7858 0.0853
0.4119 0.4119 0.7869
0.7858 0.3785 0.0853
0.8256 0.1972 0.5644
0.5597 0.5597 0.4735
0.1613 0.4913 0.1933
0.4913 0.1613 0.1933
0.5920 0.9485 0.6865
0.7899 0.7899 0.2027
0.9485 0.5920 0.6865
```

## Properties
DFT formation energy	0.05	eV per atom
SG	Cm, No. 8



[6]
A plane-wave DFT calculation with GGA-PBE was carried out for a geometry-optimized In9Hg2Pb structure.

```
In9Hg2Pb
1.0
4.8908 0.0000 0.0000
0.0000 4.8908 0.0000
0.0000 0.0000 13.6191
In Hg Pb
9 2 1
Direct
0.0000 0.0000 0.0000
0.0000 0.0000 0.3362
0.0000 0.0000 0.6638
0.0000 0.5000 0.1736
0.0000 0.5000 0.5000
0.0000 0.5000 0.8264
0.5000 0.0000 0.1736
0.5000 0.0000 0.5000
0.5000 0.0000 0.8264
0.5000 0.5000 0.3354
0.5000 0.5000 0.6646
0.5000 0.5000 0.0000
```

## Properties
DFT formation energy	0.03	eV per atom
SG	P4/mmm, No. 123



> Which value of DFT formation energy does entry 3 give?

0.04 eV per atom